This record from Alexandria describes a relaxed Ta2NiHAu crystal. The functional is PBE.

Geometry as POSCAR:
```
Ta2NiHAu
1.0
4.088 0.000 0.000
0.000 4.088 0.000
0.000 0.000 3.983
Ta Ni H Au
2 1 1 1
Cartesian
0.000 2.044 0.000
2.044 0.000 0.000
0.000 0.000 1.992
0.000 0.000 0.000
2.044 2.044 1.992
```



PBE ScTl2BiO6, relaxed; E_form (uncorrected) = -1470 meV per atom
1.0
2.898 1.673 5.061
-2.898 1.673 5.061
0.000 -3.347 5.061
Sc Tl Bi O
1 2 1 6
Cartesian
0.000 0.000 0.000
0.000 0.000 4.319
0.000 0.000 11.878
0.000 0.000 7.664
-0.785 -1.613 6.032
-2.110 -0.265 8.647
-1.004 1.486 6.032
1.284 -1.694 8.647
1.789 0.126 6.032
0.825 1.960 8.647



PBE MoCl3, relaxed; energy above the lowest structure with this stoichiometry = 268 meV/atom; E_form (uncorrected) = -589 meV per atom
1.0
11.032 0.000 0.000
0.000 13.609 0.000
0.000 0.000 3.419
Mo Cl
4 12
Cartesian
0.000 2.823 0.855
0.000 10.786 2.564
5.516 3.981 2.564
5.516 9.628 0.855
0.000 4.640 2.564
0.000 8.969 0.855
1.572 1.910 2.564
1.572 11.699 0.855
3.944 4.895 0.855
3.944 8.714 2.564
5.516 2.164 0.855
5.516 11.445 2.564
7.088 4.895 0.855
7.088 8.714 2.564
9.460 1.910 2.564
9.460 11.699 0.855



This record from Alexandria describes a relaxed ZrTc crystal. The functional is PBE.

Geometry as POSCAR:
```
ZrTc
1.0
5.422 0.000 0.000
0.000 5.422 0.000
0.000 0.000 5.422
Zr Tc
4 4
Cartesian
0.000 0.000 0.000
0.000 2.711 2.711
2.711 0.000 2.711
2.711 2.711 0.000
0.000 0.000 2.711
0.000 2.711 0.000
2.711 0.000 0.000
2.711 2.711 2.711
```



PBE La2PtBr, relaxed; energy above the lowest structure with this stoichiometry = 22 meV/atom; E_form (uncorrected) = -1327 meV per atom
1.0
4.260 0.000 0.000
-2.130 3.689 0.000
0.000 0.000 23.990
La Pt Br
6 3 3
Cartesian
0.000 0.000 0.000
0.000 0.000 4.826
0.000 2.459 15.993
0.000 2.459 20.819
2.130 1.230 7.997
2.130 1.230 12.822
0.000 0.000 14.412
0.000 2.459 6.416
2.130 1.230 22.409
0.000 0.000 10.350
0.000 2.459 2.354
2.130 1.230 18.347



This record from Alexandria describes a relaxed KLa2CdB crystal. The functional is PBE.

Geometry as POSCAR:
```
KLa2CdB
1.0
5.251 0.000 0.000
0.000 5.251 0.000
0.000 0.000 6.047
K La Cd B
1 2 1 1
Cartesian
0.000 0.000 0.000
0.000 2.625 3.024
2.625 0.000 3.024
2.625 2.625 0.000
0.000 0.000 3.024
```



PBE Sc2SeS2, relaxed; energy above the lowest structure with this stoichiometry = 525 meV/atom; E_form (uncorrected) = -1311 meV per atom
1.0
4.183 0.000 0.000
0.000 4.183 0.000
0.000 0.000 12.721
Sc Se S
4 2 4
Cartesian
0.000 0.000 1.793
0.000 0.000 10.928
2.091 2.091 4.568
2.091 2.091 8.153
0.000 0.000 6.360
2.091 2.091 0.000
0.000 2.091 3.180
0.000 2.091 9.541
2.091 0.000 3.180
2.091 0.000 9.541



This record from Alexandria describes a relaxed LaEuInAg crystal. The functional is PBE.

Geometry as POSCAR:
```
LaEuInAg
1.0
7.789 0.000 0.000
0.000 7.789 0.000
0.000 0.000 7.789
La Eu In Ag
4 4 4 4
Cartesian
0.000 0.000 0.000
0.000 3.895 3.895
3.895 0.000 3.895
3.895 3.895 0.000
0.000 0.000 3.895
0.000 3.895 0.000
3.895 0.000 0.000
3.895 3.895 3.895
1.947 1.947 1.947
1.947 5.842 5.842
5.842 1.947 5.842
5.842 5.842 1.947
1.947 1.947 5.842
1.947 5.842 1.947
5.842 1.947 1.947
5.842 5.842 5.842
```



PBE CaRe2Se, relaxed; E_form (uncorrected) = 823 meV per atom
1.0
2.963 0.000 0.000
0.000 4.675 0.000
0.000 0.000 5.359
Ca Re Se
1 2 1
Cartesian
0.000 0.000 0.000
1.482 2.338 1.495
1.482 2.338 3.864
0.000 0.000 2.680



PBE PuAlS2, relaxed; E_form (uncorrected) = -806 meV per atom
1.0
3.514 0.000 0.000
-1.757 3.043 0.000
0.000 0.000 24.628
Pu Al S
3 3 6
Cartesian
0.000 0.000 0.000
0.000 2.029 16.419
1.757 1.014 8.209
0.000 0.000 12.314
0.000 2.029 4.105
1.757 1.014 20.524
0.000 0.000 2.776
0.000 0.000 21.852
0.000 2.029 13.643
0.000 2.029 19.195
1.757 1.014 5.433
1.757 1.014 10.986



This record from Alexandria describes a relaxed KNa3Tl10 crystal. The functional is PBE.

Geometry as POSCAR:
```
KNa3Tl10
1.0
0.000 7.719 7.719
7.719 0.000 7.719
7.719 7.719 0.000
K Na Tl
2 6 20
Cartesian
3.859 3.859 3.859
11.578 11.578 11.578
7.719 7.719 3.433
7.719 3.433 7.719
12.005 7.719 7.719
3.433 7.719 7.719
7.719 12.005 7.719
7.719 7.719 12.005
1.920 1.920 1.920
5.799 5.799 1.920
5.799 1.920 5.799
7.719 5.025 5.025
10.413 7.719 5.025
10.413 5.025 7.719
13.518 9.639 9.639
5.025 7.719 5.025
7.719 10.413 5.025
5.025 5.025 7.719
10.413 10.413 7.719
7.719 5.025 10.413
10.413 7.719 10.413
1.920 5.799 5.799
5.025 10.413 7.719
5.025 7.719 10.413
7.719 10.413 10.413
9.639 13.518 9.639
9.639 9.639 13.518
13.518 13.518 13.518
```



PBE RbVCu2Cl8, relaxed; E_form (uncorrected) = -978 meV per atom
1.0
6.883 0.000 0.000
-3.425 6.230 0.000
-0.064 -1.446 8.081
Rb V Cu Cl
1 1 2 8
Cartesian
0.000 0.000 0.000
-0.032 -0.723 4.041
0.024 5.665 1.456
3.370 -0.881 6.625
-0.048 1.288 3.045
-1.769 4.733 2.575
1.573 0.109 5.567
-0.123 3.242 7.403
3.517 1.542 0.679
1.821 4.675 2.514
5.163 0.051 5.506
3.442 3.496 5.036



PBE RbTe2P, relaxed; E_form (uncorrected) = -6 meV per atom
1.0
4.138 0.000 0.000
-2.069 3.584 0.000
0.000 0.000 29.596
Rb Te P
3 6 3
Cartesian
0.000 0.000 0.000
0.000 2.389 19.731
2.069 1.195 9.865
0.000 0.000 3.413
0.000 0.000 26.183
0.000 2.389 16.318
0.000 2.389 23.144
2.069 1.195 6.452
2.069 1.195 13.279
0.000 0.000 14.798
0.000 2.389 4.933
2.069 1.195 24.664



This record from Alexandria describes a relaxed Sc4Bi3As crystal. The functional is PBE.

Geometry as POSCAR:
```
Sc4Bi3As
1.0
8.404 0.000 0.000
0.000 11.801 0.000
0.000 0.000 4.136
Sc Bi As
8 6 2
Cartesian
0.000 2.816 0.000
0.000 8.985 0.000
1.928 0.000 2.068
2.274 5.900 2.068
4.202 3.085 0.000
4.202 8.716 0.000
6.130 5.900 2.068
6.476 0.000 2.068
0.000 5.900 0.000
2.101 2.950 2.068
2.101 8.851 2.068
4.202 0.000 0.000
6.303 2.950 2.068
6.303 8.851 2.068
0.000 0.000 0.000
4.202 5.900 0.000
```



PBE ZrTiCd4, relaxed; energy above the lowest structure with this stoichiometry = 138 meV/atom
1.0
0.000 3.984 3.984
3.984 0.000 3.984
3.984 3.984 0.000
Zr Ti Cd
1 1 4
Cartesian
0.000 0.000 0.000
5.976 5.976 5.976
2.988 2.988 2.988
4.980 4.980 2.988
4.980 2.988 4.980
2.988 4.980 4.980



This record from Alexandria describes a relaxed Na2SnBi4Pb2 crystal. The functional is PBE.

Geometry as POSCAR:
```
Na2SnBi4Pb2
1.0
6.149 0.000 0.000
2.400 6.484 0.000
1.803 1.026 7.235
Na Sn Bi Pb
2 1 4 2
Cartesian
2.309 2.665 2.198
8.043 4.844 5.037
5.176 3.755 3.618
3.339 6.085 2.266
5.095 5.395 6.475
5.256 2.115 0.760
7.012 1.425 4.969
3.907 2.112 6.179
6.444 5.397 1.056
```



PBE Rb2ErPaS4, relaxed; E_form (uncorrected) = -1624 meV per atom
1.0
7.042 0.000 0.000
0.000 4.022 0.000
-2.300 0.000 7.747
Rb Er Pa S
2 1 1 4
Cartesian
0.000 0.000 0.000
3.521 2.011 0.000
-1.150 2.011 3.874
2.371 0.000 3.874
0.025 0.000 5.364
1.162 2.011 2.356
3.580 2.011 5.391
4.717 0.000 2.384



PBE PmInHg, relaxed; energy above the lowest structure with this stoichiometry = 0 meV/atom
1.0
5.284 0.000 0.000
0.000 9.138 0.000
0.000 0.000 6.531
Pm In Hg
4 4 4
Cartesian
0.000 1.519 1.633
0.000 7.619 4.898
2.642 3.050 4.898
2.642 6.088 1.633
0.000 4.569 0.000
0.000 4.569 3.265
2.642 0.000 0.000
2.642 0.000 3.265
0.000 1.529 4.898
0.000 7.609 1.633
2.642 3.040 1.633
2.642 6.098 4.898



This record from Alexandria describes a relaxed CrAu crystal. The functional is PBE.

Geometry as POSCAR:
```
CrAu
1.0
9.081 0.000 0.000
0.000 3.989 0.000
-1.662 0.000 5.434
Cr Au
6 6
Cartesian
0.000 0.000 0.000
0.044 1.995 4.481
2.833 0.000 0.952
4.540 1.995 0.000
4.585 0.000 4.481
7.374 1.995 0.952
-0.831 0.000 2.717
0.997 1.995 1.685
1.880 0.000 3.748
3.709 1.995 2.717
5.538 0.000 1.685
6.421 1.995 3.748
```



This record from Alexandria describes a relaxed PrGe4Rh crystal. The functional is PBE.

Geometry as POSCAR:
```
PrGe4Rh
1.0
6.323 0.000 0.000
3.158 5.664 0.000
0.003 0.817 6.889
Pr Ge Rh
2 8 2
Cartesian
2.243 3.029 1.727
7.241 3.451 5.162
0.817 0.159 0.978
3.974 3.915 4.077
2.348 0.576 4.422
3.966 2.981 6.259
5.518 3.500 0.630
7.137 5.905 2.467
5.510 2.565 2.812
8.668 6.322 5.911
0.002 0.408 3.444
3.162 0.000 0.000
```



| no. | energy (eV per atom) | spin magnetization (Bohr magnetons per cell) |
| --- | --- | --- |
| 1 | -7.32 | 0.0 |
| 2 | -5.94 | 0.0 |
| 3 | -4.68 | 12.0 |
| 4 | -8.88 | 0.0 |
| 5 | -5.72 | 0.0 |
| 6 | -3.40 | 0.1 |
| 7 | -6.19 | 0.0 |
| 8 | -5.58 | 28.2 |
| 9 | -6.77 | 0.0 |
| 10 | -7.39 | 18.9 |
| 11 | -2.00 | 0.0 |
| 12 | -3.73 | 1.1 |
| 13 | -3.17 | 0.0 |
| 14 | -6.01 | 0.0 |
| 15 | -3.27 | 2.7 |
| 16 | -3.39 | 0.0 |
| 17 | -5.69 | 1.9 |
| 18 | -3.07 | 0.0 |
| 19 | -6.32 | 8.3 |
| 20 | -5.56 | 0.0 |